MoP4O13 | PBE+U | optimized geometry

Its symmetry is P2_12_12_1. Its density is 2.79 g cm⁻³.

Cell: 7.1617 8.3090 17.0962 Å, 90.00 90.00 90.00°
Positions (direct):
Mo 0.2418 0.2376 0.2777
Mo 0.2582 0.7624 0.7777
Mo 0.7418 0.2624 0.7223
Mo 0.7582 0.7376 0.2223
P 0.0728 0.6138 0.0791
P 0.0787 0.1696 0.5814
P 0.1079 0.1292 0.8365
P 0.1088 0.6018 0.3388
P 0.3912 0.3982 0.8388
P 0.3921 0.8708 0.3365
P 0.4213 0.8304 0.0814
P 0.4272 0.3862 0.5791
P 0.5728 0.8862 0.9209
P 0.5787 0.3304 0.4186
P 0.6079 0.3708 0.1635
P 0.6088 0.8982 0.6612
P 0.8912 0.1018 0.1612
P 0.8921 0.6292 0.6635
P 0.9213 0.6696 0.9186
P 0.9272 0.1138 0.4209
O 0.0051 0.7117 0.0033
O 0.0487 0.1916 0.3543
O 0.0676 0.4381 0.0773
O 0.0762 0.6950 0.7037
O 0.0786 0.1739 0.1959
O 0.0864 0.7172 0.8632
O 0.0972 0.0943 0.9201
O 0.1168 0.5601 0.4215
O 0.1524 0.4583 0.2800
O 0.1567 0.0090 0.5935
O 0.1661 0.9826 0.7824
O 0.2212 0.3171 0.5939
O 0.2490 0.2648 0.8060
O 0.2510 0.7352 0.3060
O 0.2788 0.6829 0.0939
O 0.3339 0.0174 0.2824
O 0.3433 0.9910 0.0935
O 0.3476 0.5417 0.7800
O 0.3832 0.4399 0.9215
O 0.4028 0.9057 0.4201
O 0.4136 0.2828 0.3632
O 0.4214 0.8261 0.6959
O 0.4238 0.3050 0.2037
O 0.4324 0.5619 0.5773
O 0.4513 0.8084 0.8543
O 0.4949 0.2883 0.5033
O 0.5051 0.7883 0.9967
O 0.5487 0.3084 0.6457
O 0.5676 0.0619 0.9227
O 0.5762 0.8050 0.2963
O 0.5786 0.3261 0.8041
O 0.5864 0.7828 0.1368
O 0.5972 0.4057 0.0799
O 0.6168 0.9399 0.5785
O 0.6524 0.0417 0.7200
O 0.6567 0.4910 0.4065
O 0.6661 0.5174 0.2176
O 0.7212 0.1829 0.4061
O 0.7490 0.2352 0.1940
O 0.7510 0.7648 0.6940
O 0.7788 0.8171 0.9061
O 0.8339 0.4826 0.7176
O 0.8433 0.5090 0.9065
O 0.8476 0.9583 0.2200
O 0.8832 0.0601 0.0785
O 0.9028 0.5943 0.5799
O 0.9136 0.2172 0.6368
O 0.9214 0.6739 0.3041
O 0.9238 0.1950 0.7963
O 0.9324 0.9381 0.4227
O 0.9513 0.6916 0.1457
O 0.9949 0.2117 0.4967


MoP2O | PBE+U | optimized geometry

Its symmetry is I-42d. Its density is 4.41 g cm⁻³.

Cell: 5.9935 5.9935 5.9935 Å, 127.70 127.70 77.11°
Positions (direct):
Mo 0.0000 0.0000 0.0000
Mo 0.7500 0.2500 0.5000
P 0.1652 0.6250 0.0402
P 0.3750 0.4152 0.5402
P 0.5848 0.1250 0.9598
P 0.8750 0.8348 0.4598
O 0.2500 0.7500 0.5000
O 0.5000 0.5000 0.0000


MoP2PbO8 | PBE+U | optimized geometry

Its symmetry is C2/c. Its density is 4.79 g cm⁻³. Its energy above the most stable polymorph in this dataset is 0.0 kJ/mol of atoms.

Cell: 10.2316 10.2316 6.6698 Å, 98.33 98.33 90.17°
Positions (direct):
Mo 0.0079 0.7242 0.6846
Mo 0.2758 0.9921 0.8154
Mo 0.7242 0.0079 0.1846
Mo 0.9921 0.2758 0.3154
P 0.0154 0.2075 0.8027
P 0.2075 0.0154 0.3027
P 0.2372 0.5057 0.5336
P 0.4943 0.7628 0.9664
P 0.5057 0.2372 0.0336
P 0.7628 0.4943 0.4664
P 0.7925 0.9846 0.6973
P 0.9846 0.7925 0.1973
Pb 0.2623 0.4916 0.0402
Pb 0.4916 0.2623 0.5402
Pb 0.5084 0.7377 0.4598
Pb 0.7377 0.5084 0.9598
O 0.0129 0.7109 0.3720
O 0.0167 0.7090 0.0013
O 0.0780 0.9220 0.2500
O 0.1296 0.8704 0.7500
O 0.1325 0.4279 0.3634
O 0.1555 0.1566 0.8278
O 0.1566 0.1555 0.3278
O 0.1630 0.5923 0.6916
O 0.2891 0.9871 0.1280
O 0.2910 0.9833 0.4987
O 0.3193 0.5876 0.4156
O 0.3260 0.4161 0.6605
O 0.4077 0.8370 0.8084
O 0.4124 0.6807 0.0844
O 0.4161 0.3260 0.1605
O 0.4279 0.1325 0.8634
O 0.5721 0.8675 0.1366
O 0.5839 0.6740 0.8395
O 0.5876 0.3193 0.9156
O 0.5923 0.1630 0.1916
O 0.6740 0.5839 0.3395
O 0.6807 0.4124 0.5844
O 0.7090 0.0167 0.5013
O 0.7109 0.0129 0.8720
O 0.8370 0.4077 0.3084
O 0.8434 0.8445 0.6722
O 0.8445 0.8434 0.1722
O 0.8675 0.5721 0.6366
O 0.8704 0.1296 0.2500
O 0.9220 0.0780 0.7500
O 0.9833 0.2910 0.9987
O 0.9871 0.2891 0.6280


MoPPbO2 | PBE+U | optimized geometry

Its symmetry is P4/mmm. Its density is 7.25 g cm⁻³. Its energy above the most stable polymorph in this dataset is 0.0 kJ/mol of atoms.

Cell: 4.0142 4.0142 5.2064 Å, 90.00 90.00 90.00°
Positions (direct):
Mo 0.0000 0.0000 0.0000
P 0.0000 0.0000 0.5000
Pb 0.5000 0.5000 0.5000
O 0.0000 0.5000 0.0000
O 0.5000 0.0000 0.0000


MoP2PbO8 | PBE+U | optimized geometry

Its symmetry is R32. Its density is 5.15 g cm⁻³. Its energy above the most stable polymorph in this dataset is 15.3 kJ/mol of atoms.

Cell: 8.3243 8.3243 8.3243 Å, 33.78 33.78 33.78°
Positions (direct):
Mo 0.0000 0.0000 0.0000
P 0.2549 0.2549 0.2549
P 0.7451 0.7451 0.7451
Pb 0.5000 0.5000 0.5000
O 0.0100 0.4053 0.7552
O 0.1896 0.1896 0.1896
O 0.2448 0.5947 0.9900
O 0.4053 0.7552 0.0100
O 0.5947 0.9900 0.2448
O 0.7552 0.0100 0.4053
O 0.8104 0.8104 0.8104
O 0.9900 0.2448 0.5947


MoPPbO2 | PBE+U | optimized geometry

Its symmetry is P4/mmm. Its density is 6.37 g cm⁻³. Its energy above the most stable polymorph in this dataset is 102.3 kJ/mol of atoms.

Cell: 4.1397 4.1397 5.5703 Å, 90.00 90.00 90.00°
Positions (direct):
Mo 0.0000 0.0000 0.0000
P 0.5000 0.5000 0.0000
Pb 0.5000 0.5000 0.5000
O 0.0000 0.5000 0.5000
O 0.5000 0.0000 0.5000


MoPPdO2 | PBE+U | optimized geometry

Its symmetry is P4/mmm. Its density is 5.84 g cm⁻³. Its energy above the most stable polymorph in this dataset is 83.4 kJ/mol of atoms.

Cell: 3.9170 3.9170 4.9178 Å, 90.00 90.00 90.00°
Positions (direct):
Mo 0.0000 0.0000 0.0000
P 0.5000 0.5000 0.0000
Pd 0.5000 0.5000 0.5000
O 0.0000 0.5000 0.5000
O 0.5000 0.0000 0.5000


MoPPdO2 | PBE+U | optimized geometry

Its symmetry is P4/mmm. Its density is 5.73 g cm⁻³. Its energy above the most stable polymorph in this dataset is 0.0 kJ/mol of atoms.

Cell: 3.7666 3.7666 5.4152 Å, 90.00 90.00 90.00°
Positions (direct):
Mo 0.0000 0.0000 0.0000
P 0.0000 0.0000 0.5000
Pd 0.5000 0.5000 0.5000
O 0.0000 0.5000 0.0000
O 0.5000 0.0000 0.0000


PmMoP2O8 | PBE+U | optimized geometry

Its symmetry is P-3m1. Its density is 4.40 g cm⁻³.

Cell: 5.1840 5.1840 6.9799 Å, 90.00 90.00 120.00°
Positions (direct):
Pm 0.0000 0.0000 0.0000
Mo 0.0000 0.0000 0.5000
P 0.3333 0.6667 0.2156
P 0.6667 0.3333 0.7844
O 0.1698 0.3395 0.2860
O 0.1698 0.8302 0.2860
O 0.3333 0.6667 0.9963
O 0.3395 0.1698 0.7140
O 0.6605 0.8302 0.2860
O 0.6667 0.3333 0.0037
O 0.8302 0.1698 0.7140
O 0.8302 0.6605 0.7140


MoP2PtO | PBE+U | optimized geometry

Its symmetry is P4/mmm. Its density is 6.90 g cm⁻³. Its energy above the most stable polymorph in this dataset is 26.3 kJ/mol of atoms.

Cell: 4.8591 4.8591 3.7583 Å, 90.00 90.00 90.00°
Positions (direct):
Mo 0.0000 0.0000 0.0000
P 0.0000 0.5000 0.5000
P 0.5000 0.0000 0.5000
Pt 0.5000 0.5000 0.5000
O 0.5000 0.5000 0.0000


MoP2PtO | PBE+U | optimized geometry

Its symmetry is P4/mmm. Its density is 7.03 g cm⁻³. Its energy above the most stable polymorph in this dataset is 0.0 kJ/mol of atoms.

Cell: 4.8452 4.8452 3.7121 Å, 90.00 90.00 90.00°
Positions (direct):
Mo 0.0000 0.0000 0.0000
P 0.0000 0.5000 0.0000
P 0.5000 0.0000 0.0000
Pt 0.5000 0.5000 0.5000
O 0.0000 0.0000 0.5000


PuMoP2O8 | PBE+U | optimized geometry

Its symmetry is P-3. Its density is 5.40 g cm⁻³.

Cell: 5.1790 5.1790 7.0162 Å, 90.00 90.00 120.00°
Positions (direct):
Pu 0.0000 0.0000 0.0000
Mo 0.0000 0.0000 0.5000
P 0.3333 0.6667 0.7829
P 0.6667 0.3333 0.2171
O 0.1493 0.3400 0.7122
O 0.1907 0.8507 0.7122
O 0.3333 0.6667 0.0009
O 0.3400 0.1907 0.2878
O 0.6600 0.8093 0.7122
O 0.6667 0.3333 0.9991
O 0.8093 0.1493 0.2878
O 0.8507 0.6600 0.2878


| no. | total magnetic moment (μB/atom) | energy (eV per cell) |
| --- | --- | --- |
| 1 | 0.00 | -504.659 |
| 2 | 0.15 | -41.664 |
| 3 | 0.17 | -341.439 |
| 4 | 0.27 | -29.677 |
| 5 | 0.17 | -83.462 |
| 6 | 0.59 | -24.378 |
| 7 | 0.43 | -25.993 |
| 8 | 0.13 | -30.315 |
| 9 | 0.25 | -91.809 |
| 10 | 0.58 | -26.018 |
| 11 | 0.21 | -27.381 |
| 12 | 0.67 | -99.804 |